# 1
Pr2Y2In after structural relaxation. Source: Alexandria, functional PBE-GGA.

- Calculated formation energy: -0.176 eV/atom
- Density of states at the Fermi level: 4.8 states/eV/f.u.

a b c (Å): 5.6043 5.6043 17.7824
angles (deg): 90.00 90.00 120.00
Space group R-3m (No. 166, hexagonal axes)
Asymmetric unit:
Pr: 0.0000 0.0000 0.1045 (multiplicity 6)
Y: 0.0000 0.0000 0.3184 (multiplicity 6)
In: 0.0000 0.0000 0.5000 (multiplicity 3)



# 2
Pr6YIn2 after structural relaxation. Source: Alexandria, functional PBE-GGA.

- Calculated formation energy: -0.204 eV/atom
- Density of states at the Fermi level: 10.9 states/eV/f.u.

a b c (Å): 13.262 3.873 12.217
angles (deg): 90.00 108.13 90.00
Space group C2/m (No. 12)
Asymmetric unit:
Pr: 0.019 0.000 0.338 (multiplicity 4)
Pr: 0.181 0.500 0.877 (multiplicity 4)
Pr: 0.193 0.500 0.592 (multiplicity 4)
Y: 0.000 0.000 0.000 (multiplicity 2)
In: 0.140 0.500 0.194 (multiplicity 4)



# 3
Pr2YIn after structural relaxation. Source: Alexandria, functional PBE-GGA.

- Calculated formation energy: -0.144 eV/atom
- Density of states at the Fermi level: 6.8 states/eV/f.u.

a b c (Å): 7.934 7.934 7.934
angles (deg): 90.00 90.00 90.00
Space group Fm-3m (No. 225)
Asymmetric unit:
Pr: 0.250 0.250 0.250 (multiplicity 8)
Y: 0.000 0.000 0.000 (multiplicity 4)
In: 0.000 0.000 0.500 (multiplicity 4)



# 4
PrY4In after structural relaxation. Source: Alexandria, functional PBE-GGA.

- Calculated formation energy: -0.142 eV/atom
- Density of states at the Fermi level: 8.6 states/eV/f.u.

a b c (Å): 5.561 6.898 9.697
angles (deg): 90.00 90.00 90.00
Space group Pmmn (No. 59, origin choice 2)
Asymmetric unit:
Pr: 0.250 0.250 0.074 (multiplicity 2)
Y: 0.250 0.250 0.419 (multiplicity 2)
Y: 0.250 0.504 0.742 (multiplicity 4)
Y: 0.250 0.750 0.110 (multiplicity 2)
In: 0.250 0.750 0.430 (multiplicity 2)



Look up the density of states at the Fermi level of the fourth one. 8.6 states/eV/f.u.